[1]
Crystalline GeMo at its relaxed geometry. Source: Alexandria via LeMat-Bulk, functional PBE-GGA.

The space group is I-43m (No. 217) and the conventional cell measures 7.8537, 7.8537 and 7.8537 Å, with angles of 90.00, 90.00 and 90.00 degrees. Symmetry generates all atoms from Ge at (0.1950, 0.1950, 0.1950) and Mo at (0.1180, 0.1180, 0.8820).

The value obtained for the mass density is 4.623 g cm⁻³. The formation energy comes out at 22.1 kcal/mol of atoms.

---

[2]
Crystalline SbPO2 at its relaxed geometry. Source: Alexandria via LeMat-Bulk, functional PBE-GGA.

The space group is Fd-3m (No. 227, origin choice 2) and the conventional cell measures 8.0179, 8.0179 and 8.0179 Å, with angles of 90.00, 90.00 and 90.00 degrees. Symmetry generates all atoms from Sb at (0.1250, 0.1250, 0.1250), P at (0.1250, 0.1250, 0.6250) and O at (0.0000, 0.0000, 0.5000).

The value obtained for the mass density is 4.761 g cm⁻³. For the uncorrected formation energy, the calculation gives -42 kJ per mole of atoms. The distance to the lowest polymorph of the same formula comes out at 66 meV per atom.

---

[3]
Crystalline LiBeCu2Sn at its relaxed geometry. Source: Alexandria via LeMat-Bulk, functional PBE-GGA.

The space group is P4/mmm (No. 123) and the conventional cell measures 4.2173, 4.2173 and 4.1814 Å, with angles of 90.00, 90.00 and 90.00 degrees. Symmetry generates all atoms from Li at (0.0000, 0.0000, 0.0000), Be at (0.0000, 0.0000, 0.5000), Cu at (0.0000, 0.5000, 0.0000) and Sn at (0.5000, 0.5000, 0.5000).

The value obtained for the mass density is 5.845 g cm⁻³. The formation energy comes out at 14.7 kcal/mol of atoms.